Below is crystalline NaScTa2V at its relaxed geometry, with properties calculated at the GGA-PBE level.

Unit cell a=4.633 b=5.231 c=4.633 alpha=90.00 beta=90.00 gamma=90.00
Atoms (fractional coordinates):
Sc 0.500 0.500 0.500
Na 0.000 0.500 0.000
V 0.000 0.000 0.000
Ta 0.000 0.000 0.500
Ta 0.500 0.000 0.000

- N(E_F) (states/eV per cell) = 4.520
- spin magnetization (μB per cell) = 0.0
- energy relative to the elements (eV per atom) = 1.077